An optimized crystal structure of PmSnTe2O8. Source: the Alexandria database, functional PBE.

As for the energy relative to the elements, uncorrected: -126.45 kJ per mole of atoms. The density is 4.60 g cm⁻³. Its final energy is -5.869 eV per atom.

It has space group P-3m1 (No. 164), with a = 6.1546 Å, b = 6.1546 Å, c = 7.1193 Å, α = 90.00°, β = 90.00° and γ = 120.00°. The asymmetric unit holds Pm at (0.0000, 0.0000, 0.0000), Sn at (0.0000, 0.0000, 0.5000), Te at (0.3333, 0.6667, 0.2972), O at (0.1601, 0.3202, 0.2256) and O at (0.3333, 0.6667, 0.5529).